# 1
A relaxed Mg2Ga3Ag3 crystal, computed with PBE-GGA.

a b c (Å): 4.1128 4.2422 8.2382
angles (deg): 90.00 90.00 90.00
Space group Pmmm (No. 47)
One atom of each set of equivalent atoms:
Mg 0.0000 0.0000 0.2504
Ga 0.0000 0.5000 0.0000
Ga 0.5000 0.5000 0.2506
Ag 0.0000 0.5000 0.5000
Ag 0.5000 0.0000 0.0000
Ag 0.5000 0.0000 0.5000

Output
ΔH_f (0 K) = -0.11 eV per atom

---

# 2
A relaxed Mg2TaSi crystal, computed with PBE-GGA.

a b c (Å): 3.0296 3.0296 28.1755
angles (deg): 90.00 90.00 120.00
Space group R3m (No. 160, hexagonal axes)
One atom of each set of equivalent atoms:
Mg 0.0000 0.0000 0.0000
Mg 0.0000 0.0000 0.2409
Ta 0.0000 0.0000 0.7543
Si 0.0000 0.0000 0.4939

Output
E_form (uncorrected) = 93 meV per atom

---

# 3
A relaxed Li4MnAu crystal, computed with PBE-GGA.

a b c (Å): 7.0240 7.0240 7.0240
angles (deg): 90.00 90.00 90.00
Space group F-43m (No. 216)
One atom of each set of equivalent atoms:
Li 0.1241 0.1241 0.3759
Mn 0.0000 0.0000 0.0000
Au 0.2500 0.2500 0.7500

Output
ΔH_f (0 K) = 0.04 eV per atom

---

# 4
A relaxed NdSc2In crystal, computed with PBE-GGA.

a b c (Å): 7.4106 7.4106 7.4106
angles (deg): 90.00 90.00 90.00
Space group Fm-3m (No. 225)
One atom of each set of equivalent atoms:
Nd 0.0000 0.0000 0.0000
Sc 0.2500 0.2500 0.2500
In 0.0000 0.0000 0.5000

Output
ΔH_f (0 K) = -0.11 eV per atom
Offset from the most stable computed form = 129 meV/atom

---

# 5
A relaxed Pr3AlCu2O9 crystal, computed with PBE-GGA.

a b c (Å): 5.4307 5.4307 6.6263
angles (deg): 90.00 90.00 120.00
Space group P-3m1 (No. 164)
One atom of each set of equivalent atoms:
Pr 0.0000 0.0000 0.0000
Pr 0.3333 0.6667 0.6637
Al 0.0000 0.0000 0.5000
Cu 0.3333 0.6667 0.1684
O 0.0000 0.5000 0.0000
O 0.1632 0.3265 0.3373

Output
E_form (uncorrected) = -2291 meV per atom

---

# 6
A relaxed AlIn2Sb crystal, computed with PBE-GGA.

a b c (Å): 3.3299 3.3299 31.7363
angles (deg): 90.00 90.00 120.00
Space group R3m (No. 160, hexagonal axes)
One atom of each set of equivalent atoms:
Al 0.0000 0.0000 0.0000
In 0.0000 0.0000 0.4957
In 0.0000 0.0000 0.7409
Sb 0.0000 0.0000 0.2605

Output
E_form (uncorrected) = 117 meV per atom
Offset from the most stable computed form = 45 meV/atom

---

# 7
A relaxed UI2Cl crystal, computed with PBE-GGA.

a b c (Å): 3.9447 11.2517 7.3745
angles (deg): 90.00 90.00 90.00
Space group Imm2 (No. 44)
One atom of each set of equivalent atoms:
U 0.0000 0.0000 0.0000
I 0.0000 0.3211 0.6837
Cl 0.0000 0.5000 0.2388

Output
E_form (uncorrected) = -1049 meV per atom
Offset from the most stable computed form = 76 meV/atom